# 1
This record from Alexandria describes a geometry-optimized SrNb2Te2 structure. The functional is PBE-GGA.

a b c (Å): 4.0695 4.0695 8.3386
angles (deg): 75.88 75.88 90.00
Last column: nearest neighbours and their distance in Å.
Sites, in units of the cell vectors:
1 Te 0.3798 0.3798 0.2403  4 Nb 2.88
2 Nb 0.7500 0.2500 0.5000  4 Te 2.88, 4 Nb 2.88
3 Sr 0.0000 0.0000 0.0000  8 Te 3.44
4 Te 0.6202 0.6202 0.7597  4 Nb 2.88
5 Nb 0.2500 0.7500 0.5000  4 Te 2.88, 4 Nb 2.88

Results
* ΔE_f (raw): -0.536 eV per atom
* size of the total moment: 0.00 μB per formula unit



# 2
This record from Alexandria describes a geometry-optimized SrNbTe3 structure. The functional is PBE-GGA.

a b c (Å): 5.9951 5.9951 5.9951
angles (deg): 90.00 90.00 90.00
Last column: nearest neighbours and their distance in Å.
Sites, in units of the cell vectors:
1 Te 0.0000 0.0000 0.5000  2 Sr 3.00
2 Sr 0.0000 0.0000 0.0000  6 Te 3.00
3 Te 0.0000 0.5000 0.0000  2 Sr 3.00
4 Nb 0.5000 0.5000 0.5000  12 Te 4.24
5 Te 0.5000 0.0000 0.0000  2 Sr 3.00

Results
* excess energy over the best structure of this formula in the dataset: 7.07 eV/f.u.
* ΔE_f (raw): 0.881 eV per atom
* size of the total moment: 1.65 μB per formula unit



# 3
This record from Alexandria describes a geometry-optimized SrTi3Nb structure. The functional is PBE-GGA.

a b c (Å): 4.6952 4.6952 4.6952
angles (deg): 90.00 90.00 90.00
Last column: nearest neighbours and their distance in Å.
Sites, in units of the cell vectors:
1 Sr 0.0000 0.0000 0.0000  6 Ti 2.35
2 Ti 0.0000 0.0000 0.5000  2 Sr 2.35
3 Nb 0.5000 0.5000 0.5000  12 Ti 3.32
4 Ti 0.0000 0.5000 0.0000  2 Sr 2.35
5 Ti 0.5000 0.0000 0.0000  2 Sr 2.35

Results
* excess energy over the best structure of this formula in the dataset: 6.01 eV/f.u.
* ΔH_f (0 K): 1.93 eV/atom
* size of the total moment: 0.00 μB per formula unit



# 4
This record from Alexandria describes a geometry-optimized SrTi2Nb structure. The functional is PBE-GGA.

a b c (Å): 5.0509 5.0509 9.7857
angles (deg): 75.04 75.04 90.00
Last column: nearest neighbours and their distance in Å.
Sites, in units of the cell vectors:
1 Sr 0.5000 0.5000 0.0000  4 Nb 3.57, 8 Ti 3.63
2 Ti 0.8750 0.1251 0.7500  2 Ti 2.53, 2 Nb 2.60
3 Nb 0.7500 0.2500 0.5000  4 Ti 2.60
4 Ti 0.3750 0.1249 0.7500  2 Ti 2.53, 2 Nb 2.60
5 Sr 0.2500 0.7500 0.5000  4 Nb 3.57, 8 Ti 3.63
6 Ti 0.8751 0.1250 0.2500  2 Ti 2.53, 2 Nb 2.60
7 Nb 0.0000 0.0000 0.0000  4 Ti 2.60
8 Ti 0.8749 0.6250 0.2500  2 Ti 2.53, 2 Nb 2.60

Results
* excess energy over the best structure of this formula in the dataset: 1.66 eV/f.u.
* ΔH_f (0 K): 1.14 eV/atom
* size of the total moment: 0.00 μB per formula unit



# 5
This record from Alexandria describes a geometry-optimized Sr2TiNb2 structure. The functional is PBE-GGA.

a b c (Å): 6.9060 6.9060 5.6604
angles (deg): 90.00 90.00 90.00
Last column: nearest neighbours and their distance in Å.
Sites, in units of the cell vectors:
1 Nb 0.1362 0.3638 0.0000  1 Nb 2.66, 2 Ti 2.68
2 Ti 0.0000 0.0000 0.0000  4 Nb 2.68
3 Nb 0.8638 0.6362 0.0000  1 Nb 2.66, 2 Ti 2.68
4 Nb 0.6362 0.1362 0.0000  1 Nb 2.66, 2 Ti 2.68
5 Sr 0.8221 0.3221 0.5000  6 Nb 3.36-3.58, 5 Sr 3.47-3.59
6 Nb 0.3638 0.8638 0.0000  1 Nb 2.66, 2 Ti 2.68
7 Ti 0.5000 0.5000 0.0000  4 Nb 2.68
8 Sr 0.3221 0.1779 0.5000  6 Nb 3.36-3.58, 5 Sr 3.47-3.59
9 Sr 0.6779 0.8221 0.5000  6 Nb 3.36-3.58, 5 Sr 3.47-3.59
10 Sr 0.1779 0.6779 0.5000  6 Nb 3.36-3.58, 5 Sr 3.47-3.59

Results
* excess energy over the best structure of this formula in the dataset: 0.00 eV/f.u.
* ΔH_f (0 K): 0.86 eV/atom
* size of the total moment: 1.82 μB per formula unit



# 6
This record from Alexandria describes a geometry-optimized SrTi3Nb structure. The functional is PBE-GGA.

a b c (Å): 4.9930 4.9930 4.9930
angles (deg): 90.00 90.00 90.00
Last column: nearest neighbours and their distance in Å.
Sites, in units of the cell vectors:
1 Ti 0.0000 0.5000 0.0000  2 Nb 2.50
2 Ti 0.0000 0.0000 0.5000  2 Nb 2.50
3 Sr 0.5000 0.5000 0.5000  12 Ti 3.53
4 Nb 0.0000 0.0000 0.0000  6 Ti 2.50
5 Ti 0.5000 0.0000 0.0000  2 Nb 2.50

Results
* excess energy over the best structure of this formula in the dataset: 0.00 eV/f.u.
* ΔH_f (0 K): 0.73 eV/atom
* size of the total moment: 1.52 μB per formula unit



# 7
This record from Alexandria describes a geometry-optimized SrTi2Nb structure. The functional is PBE-GGA.

a b c (Å): 4.9385 4.9385 4.9385
angles (deg): 60.00 60.00 60.00
Last column: nearest neighbours and their distance in Å.
Sites, in units of the cell vectors:
1 Nb 0.5000 0.5000 0.5000  8 Ti 3.02
2 Ti 0.2500 0.2500 0.2500  4 Nb 3.02, 4 Sr 3.02
3 Sr 0.0000 0.0000 0.0000  8 Ti 3.02
4 Ti 0.7500 0.7500 0.7500  4 Nb 3.02, 4 Sr 3.02

Results
* excess energy over the best structure of this formula in the dataset: 0.00 eV/f.u.
* ΔH_f (0 K): 0.73 eV/atom
* size of the total moment: 0.00 μB per formula unit



# 8
This record from Alexandria describes a geometry-optimized Sr2TiNb2 structure. The functional is PBE-GGA.

a b c (Å): 4.3298 4.3298 7.9975
angles (deg): 74.29 74.29 90.00
Last column: nearest neighbours and their distance in Å.
Sites, in units of the cell vectors:
1 Nb 0.4251 0.4251 0.1499  1 Nb 2.21
2 Nb 0.5749 0.5749 0.8501  1 Nb 2.21
3 Sr 0.2500 0.7500 0.5000  4 Sr 3.06, 4 Nb 3.37
4 Sr 0.7500 0.2500 0.5000  4 Sr 3.06, 4 Nb 3.37
5 Ti 0.0000 0.0000 0.0000  8 Nb 3.26

Results
* excess energy over the best structure of this formula in the dataset: 1.65 eV/f.u.
* ΔH_f (0 K): 1.18 eV/atom
* size of the total moment: 1.59 μB per formula unit